Compound: Al2ZnW
Source: the Alexandria database
Functional: PBE
Structure: optimized geometry

Computed properties:
Calculated density   8.43 Mg/m³
DFT formation energy   -124 meV/atom

a b c (Å): 4.942 4.942 4.942
angles (deg): 134.87 134.87 65.73
Atoms (fractional coordinates):
1 Al 0.250 0.750 0.500
2 Al 0.750 0.250 0.500
3 Zn 0.000 0.000 0.000
4 W 0.500 0.500 0.000